{
  "formula": "Ca2BiBH",
  "functional": "SCAN",
  "state": "PBEsol geometry",
  "lattice": [[5.4902, 0.0000, 0.0000], [0.0000, 5.4902, 0.0000], [0.0000, 0.0000, 3.4418]],
  "species": ["Ca", "Ca", "Bi", "B", "H"],
  "fractional_positions": [[0.0000, 0.5000, 0.0000], [0.5000, 0.0000, 0.0000], [0.0000, 0.0000, 0.5000], [0.5000, 0.5000, 0.0000], [0.5000, 0.5000, 0.5000]],
  "rho_g_cm3": 4.82
}



{
  "formula": "SrCa2BiB",
  "functional": "SCAN",
  "state": "PBEsol geometry",
  "lattice": [[5.8489, 0.0000, 0.0000], [0.0000, 5.8489, 0.0000], [0.0000, 0.0000, 6.2530]],
  "species": ["Sr", "Ca", "Ca", "Bi", "B"],
  "fractional_positions": [[0.0000, 0.0000, 0.0000], [0.0000, 0.5000, 0.5000], [0.5000, 0.0000, 0.5000], [0.0000, 0.0000, 0.5000], [0.5000, 0.5000, 0.0000]],
  "formation_energy_ev_per_atom": 0.665,
  "rho_g_cm3": 3.01
}



{
  "formula": "CaZrBi2B",
  "functional": "SCAN",
  "state": "PBEsol geometry",
  "lattice": [[5.0879, 0.0000, 0.0000], [0.0000, 5.0879, 0.0000], [0.0000, 0.0000, 4.6473]],
  "species": ["Ca", "Zr", "Bi", "Bi", "B"],
  "fractional_positions": [[0.0000, 0.0000, 0.0000], [0.5000, 0.5000, 0.0000], [0.0000, 0.5000, 0.5000], [0.5000, 0.0000, 0.5000], [0.0000, 0.0000, 0.5000]],
  "formation_energy_ev_per_atom": 0.543,
  "rho_g_cm3": 7.73
}



{
  "formula": "CdBiB2",
  "functional": "SCAN",
  "state": "PBEsol geometry",
  "lattice": [[-2.7390, 2.7390, 5.1680], [2.7390, -2.7390, 5.1680], [2.7390, 2.7390, -5.1680]],
  "species": ["Cd", "Cd", "Bi", "Bi", "B", "B", "B", "B"],
  "fractional_positions": [[0.0000, 0.0000, 0.0000], [0.7500, 0.2500, 0.5000], [0.2500, 0.7500, 0.5000], [0.5000, 0.5000, 0.0000], [0.1160, 0.6250, 0.9910], [0.3750, 0.3660, 0.4910], [0.6340, 0.1250, 0.0090], [0.8750, 0.8840, 0.5090]],
  "formation_energy_ev_per_atom": 1.261,
  "rho_g_cm3": 7.35
}



{
  "formula": "CdBiB3",
  "functional": "SCAN",
  "state": "PBEsol geometry",
  "lattice": [[4.4128, 0.0000, 0.0000], [0.0000, 4.4128, 0.0000], [0.0000, 0.0000, 4.4128]],
  "species": ["Cd", "Bi", "B", "B", "B"],
  "fractional_positions": [[0.0000, 0.0000, 0.0000], [0.5000, 0.5000, 0.5000], [0.0000, 0.0000, 0.5000], [0.0000, 0.5000, 0.0000], [0.5000, 0.0000, 0.0000]],
  "formation_energy_ev_per_atom": 2.181,
  "rho_g_cm3": 6.84
}



{
  "formula": "CdBiBF10",
  "functional": "SCAN",
  "state": "PBEsol geometry",
  "lattice": [[8.3395, 0.0000, 0.0000], [0.0000, 9.4045, 0.0000], [-0.4962, 0.0000, 9.0593]],
  "species": ["Cd", "Cd", "Cd", "Cd", "Bi", "Bi", "Bi", "Bi", "B", "B", "B", "B", "F", "F", "F", "F", "F", "F", "F", "F", "F", "F", "F", "F", "F", "F", "F", "F", "F", "F", "F", "F", "F", "F", "F", "F", "F", "F", "F", "F", "F", "F", "F", "F", "F", "F", "F", "F", "F", "F", "F", "F"],
  "fractional_positions": [[0.1733, 0.0236, 0.2930], [0.1733, 0.4764, 0.7930], [0.8267, 0.5236, 0.2070], [0.8267, 0.9764, 0.7070], [0.3344, 0.0662, 0.7285], [0.3344, 0.4338, 0.2285], [0.6656, 0.5662, 0.7715], [0.6656, 0.9338, 0.2715], [0.0631, 0.7253, 0.5036], [0.0631, 0.7747, 0.0036], [0.9369, 0.2253, 0.9964], [0.9369, 0.2747, 0.4964], [0.0072, 0.1458, 0.1140], [0.0072, 0.3542, 0.6140], [0.0580, 0.2084, 0.4180], [0.0580, 0.2916, 0.9180], [0.0879, 0.0585, 0.6932], [0.0879, 0.4415, 0.1932], [0.1521, 0.6327, 0.5989], [0.1521, 0.8673, 0.0989], [0.1682, 0.6717, 0.9500], [0.1682, 0.8283, 0.4500], [0.3204, 0.2154, 0.2211], [0.3204, 0.2846, 0.7211], [0.3257, 0.0803, 0.9479], [0.3257, 0.4197, 0.4479], [0.3400, 0.6456, 0.2316], [0.3400, 0.8544, 0.7316], [0.3426, 0.0761, 0.5032], [0.3426, 0.4239, 0.0032], [0.4198, 0.5764, 0.7592], [0.4198, 0.9236, 0.2592], [0.5802, 0.0764, 0.7408], [0.5802, 0.4236, 0.2408], [0.6574, 0.5761, 0.9968], [0.6574, 0.9239, 0.4968], [0.6600, 0.1456, 0.2684], [0.6600, 0.3544, 0.7684], [0.6743, 0.5803, 0.5521], [0.6743, 0.9197, 0.0521], [0.6796, 0.7154, 0.2789], [0.6796, 0.7846, 0.7789], [0.8318, 0.1717, 0.5500], [0.8318, 0.3283, 0.0500], [0.8479, 0.1327, 0.9011], [0.8479, 0.3673, 0.4011], [0.9121, 0.5585, 0.8068], [0.9121, 0.9415, 0.3068], [0.9420, 0.7084, 0.0820], [0.9420, 0.7916, 0.5820], [0.9928, 0.6458, 0.3860], [0.9928, 0.8542, 0.8860]],
  "rho_g_cm3": 4.88,
  "formation_energy_uncorrected_ev_per_atom": -2.32
}



{
  "formula": "NaCd2BiB",
  "functional": "SCAN",
  "state": "PBEsol geometry",
  "lattice": [[5.7132, 0.0000, 0.0000], [0.0000, 5.7132, 0.0000], [0.0000, 0.0000, 4.9203]],
  "species": ["Na", "Cd", "Cd", "Bi", "B"],
  "fractional_positions": [[0.0000, 0.0000, 0.0000], [0.0000, 0.5000, 0.5000], [0.5000, 0.0000, 0.5000], [0.5000, 0.5000, 0.5000], [0.5000, 0.5000, 0.0000]],
  "formation_energy_ev_per_atom": 1.021,
  "rho_g_cm3": 4.83
}



{
  "formula": "MnCoBi2B",
  "functional": "SCAN",
  "state": "PBEsol geometry",
  "lattice": [[4.8598, 0.0000, 0.0000], [0.0000, 4.8598, 0.0000], [0.0000, 0.0000, 4.5703]],
  "species": ["Mn", "Co", "Bi", "Bi", "B"],
  "fractional_positions": [[0.0000, 0.0000, 0.0000], [0.0000, 0.0000, 0.5000], [0.0000, 0.5000, 0.5000], [0.5000, 0.0000, 0.5000], [0.5000, 0.5000, 0.0000]],
  "formation_energy_ev_per_atom": 1.224,
  "rho_g_cm3": 8.35
}



We obtain E values of -21.589, -24.857, -40.447, -29.702, -24.075, -13.995, -29.189, -38.806 eV/atom for the records listed above, in that order.
We obtain spin magnetization values of 2.0, 2.0, 1.7, 0.0, 0.0, 0.2, 0.0, 4.8 μB per formula unit for the records listed above, in that order.